a.
Crystalline ZnAg4 at its relaxed geometry. Source: the Alexandria database, functional PBE-GGA.

CIF file:
```
data_ZnAg4
_cell_length_a 3.750
_cell_length_b 3.750
_cell_length_c 14.261
_cell_angle_alpha 90.00
_cell_angle_beta 90.00
_cell_angle_gamma 90.00
_space_group_name_H-M_alt 'P 1'
_space_group_IT_number 1
_space_group_name_Hall 'P 1'
loop_
_atom_site_label
_atom_site_type_symbol
_atom_site_fract_x
_atom_site_fract_y
_atom_site_fract_z
_atom_site_occupancy
Zn1 Zn 0.000 0.000 0.000 1
Zn2 Zn 0.500 0.500 0.500 1
Ag1 Ag 0.000 0.000 0.406 1
Ag2 Ag 0.000 0.000 0.594 1
Ag3 Ag 0.000 0.500 0.250 1
Ag4 Ag 0.000 0.500 0.750 1
Ag5 Ag 0.500 0.000 0.250 1
Ag6 Ag 0.500 0.000 0.750 1
Ag7 Ag 0.500 0.500 0.094 1
Ag8 Ag 0.500 0.500 0.906 1
```

Properties
**DOS at the Fermi energy**: 1.9 states/eV/f.u.


b.
Crystalline ZnAg4 at its relaxed geometry. Source: the Alexandria database, functional PBE-GGA.

CIF file:
```
data_ZnAg4
_cell_length_a 5.946
_cell_length_b 5.946
_cell_length_c 5.946
_cell_angle_alpha 90.00
_cell_angle_beta 90.00
_cell_angle_gamma 90.00
_space_group_name_H-M_alt 'P 1'
_space_group_IT_number 1
_space_group_name_Hall 'P 1'
loop_
_atom_site_label
_atom_site_type_symbol
_atom_site_fract_x
_atom_site_fract_y
_atom_site_fract_z
_atom_site_occupancy
Zn1 Zn 0.000 0.000 0.000 1
Zn2 Zn 0.500 0.500 0.500 1
Ag1 Ag 0.250 0.250 0.250 1
Ag2 Ag 0.250 0.250 0.750 1
Ag3 Ag 0.250 0.750 0.250 1
Ag4 Ag 0.250 0.750 0.750 1
Ag5 Ag 0.750 0.250 0.250 1
Ag6 Ag 0.750 0.250 0.750 1
Ag7 Ag 0.750 0.750 0.250 1
Ag8 Ag 0.750 0.750 0.750 1
```

Properties
**DOS at the Fermi energy**: 1.8 states/eV/f.u.


Energies in eV/atom, measured from the most stable structure: a 0.000; b 0.024.


a.
Crystalline ZnAg4 at its relaxed geometry. Source: the Alexandria database, functional PBE-GGA.

CIF file:
```
data_ZnAg4
_cell_length_a 2.989
_cell_length_b 3.900
_cell_length_c 14.792
_cell_angle_alpha 90.00
_cell_angle_beta 90.00
_cell_angle_gamma 90.00
_space_group_name_H-M_alt 'P 1'
_space_group_IT_number 1
_space_group_name_Hall 'P 1'
loop_
_atom_site_label
_atom_site_type_symbol
_atom_site_fract_x
_atom_site_fract_y
_atom_site_fract_z
_atom_site_occupancy
Zn1 Zn 0.000 0.000 0.000 1
Zn2 Zn 0.500 0.500 0.500 1
Ag1 Ag 0.000 0.000 0.199 1
Ag2 Ag 0.000 0.000 0.405 1
Ag3 Ag 0.000 0.000 0.595 1
Ag4 Ag 0.000 0.000 0.801 1
Ag5 Ag 0.500 0.500 0.095 1
Ag6 Ag 0.500 0.500 0.301 1
Ag7 Ag 0.500 0.500 0.699 1
Ag8 Ag 0.500 0.500 0.905 1
```

Properties
**DOS at the Fermi energy**: 0.9 states/eV/f.u.


b.
Crystalline ZnAg4 at its relaxed geometry. Source: the Alexandria database, functional PBE-GGA.

CIF file:
```
data_ZnAg4
_cell_length_a 4.808
_cell_length_b 4.808
_cell_length_c 4.808
_cell_angle_alpha 90.00
_cell_angle_beta 90.00
_cell_angle_gamma 90.00
_space_group_name_H-M_alt 'P 1'
_space_group_IT_number 1
_space_group_name_Hall 'P 1'
loop_
_atom_site_label
_atom_site_type_symbol
_atom_site_fract_x
_atom_site_fract_y
_atom_site_fract_z
_atom_site_occupancy
Zn1 Zn 0.000 0.000 0.000 1
Ag1 Ag 0.000 0.000 0.500 1
Ag2 Ag 0.000 0.500 0.000 1
Ag3 Ag 0.500 0.000 0.000 1
Ag4 Ag 0.500 0.500 0.500 1
```

Properties
**DOS at the Fermi energy**: 1.3 states/eV/f.u.


c.
Crystalline ZnAg4 at its relaxed geometry. Source: the Alexandria database, functional PBE-GGA.

CIF file:
```
data_ZnAg4
_cell_length_a 4.714
_cell_length_b 4.866
_cell_length_c 9.126
_cell_angle_alpha 90.00
_cell_angle_beta 107.41
_cell_angle_gamma 90.00
_space_group_name_H-M_alt 'P 1'
_space_group_IT_number 1
_space_group_name_Hall 'P 1'
loop_
_atom_site_label
_atom_site_type_symbol
_atom_site_fract_x
_atom_site_fract_y
_atom_site_fract_z
_atom_site_occupancy
Zn1 Zn 0.000 0.000 0.000 1
Zn2 Zn 0.000 0.500 0.500 1
Ag1 Ag 0.170 0.250 0.276 1
Ag2 Ag 0.170 0.250 0.776 1
Ag3 Ag 0.446 0.748 0.911 1
Ag4 Ag 0.446 0.752 0.411 1
Ag5 Ag 0.554 0.248 0.589 1
Ag6 Ag 0.554 0.252 0.089 1
Ag7 Ag 0.830 0.750 0.224 1
Ag8 Ag 0.830 0.750 0.724 1
```

Properties
**DOS at the Fermi energy**: 0.9 states/eV/f.u.


d.
Crystalline ZnAg4 at its relaxed geometry. Source: the Alexandria database, functional PBE-GGA.

CIF file:
```
data_ZnAg4
_cell_length_a 2.951
_cell_length_b 2.951
_cell_length_c 34.569
_cell_angle_alpha 90.00
_cell_angle_beta 90.00
_cell_angle_gamma 120.00
_space_group_name_H-M_alt 'P 1'
_space_group_IT_number 1
_space_group_name_Hall 'P 1'
loop_
_atom_site_label
_atom_site_type_symbol
_atom_site_fract_x
_atom_site_fract_y
_atom_site_fract_z
_atom_site_occupancy
Zn1 Zn 0.000 0.000 0.000 1
Zn2 Zn 0.333 0.667 0.667 1
Zn3 Zn 0.667 0.333 0.333 1
Ag1 Ag 0.000 0.000 0.201 1
Ag2 Ag 0.000 0.000 0.396 1
Ag3 Ag 0.000 0.000 0.604 1
Ag4 Ag 0.000 0.000 0.799 1
Ag5 Ag 0.333 0.667 0.063 1
Ag6 Ag 0.333 0.667 0.270 1
Ag7 Ag 0.333 0.667 0.466 1
Ag8 Ag 0.333 0.667 0.868 1
Ag9 Ag 0.667 0.333 0.132 1
Ag10 Ag 0.667 0.333 0.534 1
Ag11 Ag 0.667 0.333 0.730 1
Ag12 Ag 0.667 0.333 0.937 1
```

Properties
**DOS at the Fermi energy**: 1.6 states/eV/f.u.


Energies in eV/atom, measured from the most stable structure: a 0.000; b 0.539; c 0.159; d 0.017.


a.
Crystalline Zn4Ag3 at its relaxed geometry. Source: the Alexandria database, functional PBE-GGA.

CIF file:
```
data_Zn4Ag3
_cell_length_a 2.878
_cell_length_b 3.824
_cell_length_c 20.353
_cell_angle_alpha 90.00
_cell_angle_beta 90.00
_cell_angle_gamma 90.00
_space_group_name_H-M_alt 'P 1'
_space_group_IT_number 1
_space_group_name_Hall 'P 1'
loop_
_atom_site_label
_atom_site_type_symbol
_atom_site_fract_x
_atom_site_fract_y
_atom_site_fract_z
_atom_site_occupancy
Zn1 Zn 0.000 0.000 0.072 1
Zn2 Zn 0.000 0.000 0.215 1
Zn3 Zn 0.000 0.000 0.785 1
Zn4 Zn 0.000 0.000 0.928 1
Zn5 Zn 0.500 0.500 0.285 1
Zn6 Zn 0.500 0.500 0.428 1
Zn7 Zn 0.500 0.500 0.572 1
Zn8 Zn 0.500 0.500 0.715 1
Ag1 Ag 0.000 0.000 0.355 1
Ag2 Ag 0.000 0.000 0.500 1
Ag3 Ag 0.000 0.000 0.645 1
Ag4 Ag 0.500 0.500 0.000 1
Ag5 Ag 0.500 0.500 0.145 1
Ag6 Ag 0.500 0.500 0.855 1
```

Properties
**DOS at the Fermi energy**: 1.7 states/eV/f.u.


b.
Crystalline Zn4Ag3 at its relaxed geometry. Source: the Alexandria database, functional PBE-GGA.

CIF file:
```
data_Zn4Ag3
_cell_length_a 11.543
_cell_length_b 11.543
_cell_length_c 2.729
_cell_angle_alpha 90.00
_cell_angle_beta 90.00
_cell_angle_gamma 120.00
_space_group_name_H-M_alt 'P 1'
_space_group_IT_number 1
_space_group_name_Hall 'P 1'
loop_
_atom_site_label
_atom_site_type_symbol
_atom_site_fract_x
_atom_site_fract_y
_atom_site_fract_z
_atom_site_occupancy
Zn1 Zn 0.120 0.402 0.250 1
Zn2 Zn 0.282 0.880 0.250 1
Zn3 Zn 0.333 0.667 0.750 1
Zn4 Zn 0.402 0.282 0.750 1
Zn5 Zn 0.598 0.718 0.250 1
Zn6 Zn 0.667 0.333 0.250 1
Zn7 Zn 0.718 0.120 0.750 1
Zn8 Zn 0.880 0.598 0.750 1
Ag1 Ag 0.096 0.633 0.250 1
Ag2 Ag 0.367 0.463 0.250 1
Ag3 Ag 0.463 0.096 0.750 1
Ag4 Ag 0.537 0.904 0.250 1
Ag5 Ag 0.633 0.537 0.750 1
Ag6 Ag 0.904 0.367 0.750 1
```

Properties
**DOS at the Fermi energy**: 1.6 states/eV/f.u.


c.
Crystalline Zn4Ag3 at its relaxed geometry. Source: the Alexandria database, functional PBE-GGA.

CIF file:
```
data_Zn4Ag3
_cell_length_a 2.979
_cell_length_b 2.979
_cell_length_c 25.306
_cell_angle_alpha 90.00
_cell_angle_beta 90.00
_cell_angle_gamma 90.00
_space_group_name_H-M_alt 'P 1'
_space_group_IT_number 1
_space_group_name_Hall 'P 1'
loop_
_atom_site_label
_atom_site_type_symbol
_atom_site_fract_x
_atom_site_fract_y
_atom_site_fract_z
_atom_site_occupancy
Zn1 Zn 0.000 0.000 0.072 1
Zn2 Zn 0.000 0.000 0.362 1
Zn3 Zn 0.000 0.000 0.638 1
Zn4 Zn 0.000 0.000 0.928 1
Zn5 Zn 0.500 0.500 0.138 1
Zn6 Zn 0.500 0.500 0.428 1
Zn7 Zn 0.500 0.500 0.572 1
Zn8 Zn 0.500 0.500 0.862 1
Ag1 Ag 0.000 0.000 0.209 1
Ag2 Ag 0.000 0.000 0.500 1
Ag3 Ag 0.000 0.000 0.791 1
Ag4 Ag 0.500 0.500 0.000 1
Ag5 Ag 0.500 0.500 0.291 1
Ag6 Ag 0.500 0.500 0.709 1
```

Properties
**DOS at the Fermi energy**: 2.3 states/eV/f.u.


d.
Crystalline Zn4Ag3 at its relaxed geometry. Source: the Alexandria database, functional PBE-GGA.

CIF file:
```
data_Zn4Ag3
_cell_length_a 5.421
_cell_length_b 5.421
_cell_length_c 4.845
_cell_angle_alpha 90.00
_cell_angle_beta 90.00
_cell_angle_gamma 120.00
_space_group_name_H-M_alt 'P 1'
_space_group_IT_number 1
_space_group_name_Hall 'P 1'
loop_
_atom_site_label
_atom_site_type_symbol
_atom_site_fract_x
_atom_site_fract_y
_atom_site_fract_z
_atom_site_occupancy
Zn1 Zn 0.000 0.000 0.246 1
Zn2 Zn 0.000 0.000 0.754 1
Zn3 Zn 0.333 0.667 0.000 1
Zn4 Zn 0.667 0.333 0.000 1
Ag1 Ag 0.000 0.500 0.500 1
Ag2 Ag 0.500 0.000 0.500 1
Ag3 Ag 0.500 0.500 0.500 1
```

Properties
**DOS at the Fermi energy**: 3.2 states/eV/f.u.


Energies in eV/atom, measured from the most stable structure: a 0.000; b 0.185; c 0.011; d 0.123.


a.
Crystalline Zn4Ag5 at its relaxed geometry. Source: the Alexandria database, functional PBE-GGA.

CIF file:
```
data_Zn4Ag5
_cell_length_a 7.149
_cell_length_b 7.149
_cell_length_c 7.149
_cell_angle_alpha 92.66
_cell_angle_beta 92.66
_cell_angle_gamma 155.11
_space_group_name_H-M_alt 'P 1'
_space_group_IT_number 1
_space_group_name_Hall 'P 1'
loop_
_atom_site_label
_atom_site_type_symbol
_atom_site_fract_x
_atom_site_fract_y
_atom_site_fract_z
_atom_site_occupancy
Zn1 Zn 0.000 0.336 0.336 1
Zn2 Zn 0.000 0.664 0.664 1
Zn3 Zn 0.336 0.000 0.336 1
Zn4 Zn 0.664 0.000 0.664 1
Ag1 Ag 0.000 0.000 0.000 1
Ag2 Ag 0.334 0.334 0.667 1
Ag3 Ag 0.334 0.666 0.000 1
Ag4 Ag 0.666 0.334 0.000 1
Ag5 Ag 0.666 0.666 0.333 1
```

Properties
**DOS at the Fermi energy**: 2.4 states/eV/f.u.


b.
Crystalline Zn4Ag5 at its relaxed geometry. Source: the Alexandria database, functional PBE-GGA.

CIF file:
```
data_Zn4Ag5
_cell_length_a 7.868
_cell_length_b 7.868
_cell_length_c 5.546
_cell_angle_alpha 90.00
_cell_angle_beta 90.00
_cell_angle_gamma 120.00
_space_group_name_H-M_alt 'P 1'
_space_group_IT_number 1
_space_group_name_Hall 'P 1'
loop_
_atom_site_label
_atom_site_type_symbol
_atom_site_fract_x
_atom_site_fract_y
_atom_site_fract_z
_atom_site_occupancy
Zn1 Zn 0.000 0.000 0.000 1
Zn2 Zn 0.000 0.000 0.500 1
Zn3 Zn 0.000 0.367 0.250 1
Zn4 Zn 0.000 0.633 0.750 1
Zn5 Zn 0.367 0.000 0.250 1
Zn6 Zn 0.367 0.367 0.750 1
Zn7 Zn 0.633 0.000 0.750 1
Zn8 Zn 0.633 0.633 0.250 1
Ag1 Ag 0.000 0.299 0.750 1
Ag2 Ag 0.000 0.701 0.250 1
Ag3 Ag 0.299 0.000 0.750 1
Ag4 Ag 0.299 0.299 0.250 1
Ag5 Ag 0.333 0.667 0.000 1
Ag6 Ag 0.333 0.667 0.500 1
Ag7 Ag 0.667 0.333 0.000 1
Ag8 Ag 0.667 0.333 0.500 1
Ag9 Ag 0.701 0.000 0.250 1
Ag10 Ag 0.701 0.701 0.750 1
```

Properties
**DOS at the Fermi energy**: 1.2 states/eV/f.u.


c.
Crystalline Zn4Ag5 at its relaxed geometry. Source: the Alexandria database, functional PBE-GGA.

CIF file:
```
data_Zn4Ag5
_cell_length_a 6.660
_cell_length_b 6.660
_cell_length_c 3.588
_cell_angle_alpha 105.47
_cell_angle_beta 105.47
_cell_angle_gamma 85.23
_space_group_name_H-M_alt 'P 1'
_space_group_IT_number 1
_space_group_name_Hall 'P 1'
loop_
_atom_site_label
_atom_site_type_symbol
_atom_site_fract_x
_atom_site_fract_y
_atom_site_fract_z
_atom_site_occupancy
Zn1 Zn 0.001 0.661 0.831 1
Zn2 Zn 0.339 0.999 0.169 1
Zn3 Zn 0.661 0.001 0.831 1
Zn4 Zn 0.999 0.339 0.169 1
Ag1 Ag 0.000 0.000 0.500 1
Ag2 Ag 0.322 0.322 0.822 1
Ag3 Ag 0.326 0.674 0.500 1
Ag4 Ag 0.674 0.326 0.500 1
Ag5 Ag 0.678 0.678 0.178 1
```

Properties
**DOS at the Fermi energy**: 1.8 states/eV/f.u.


Energies in eV/atom, measured from the most stable structure: a 0.033; b 0.006; c 0.000.